# 1
Crystalline CaTl2Rh at its relaxed geometry, computed with PBE-GGA.

abc: 9.6748 4.1544 6.0154
angles: 90.00 123.32 90.00
Space group Cm (No. 8)
Asymmetric unit:
Ca 0.0000 0.0000 0.0000 [2 per cell]
Tl 0.1005 0.5000 0.6636 [2 per cell]
Tl 0.3126 0.5000 0.3273 [2 per cell]
Rh 0.2698 0.0000 0.5949 [2 per cell]

# 2
Crystalline CaTl2Rh at its relaxed geometry, computed with PBE-GGA.

abc: 10.7001 3.8739 5.1245
angles: 90.00 117.34 90.00
Space group C2/m (No. 12)
Asymmetric unit:
Ca 0.0000 0.0000 0.0000 [2 per cell]
Tl 0.2175 0.0000 0.7157 [4 per cell]
Rh 0.0000 0.5000 0.5000 [2 per cell]

# 3
Crystalline CaTl2Rh2 at its relaxed geometry, computed with PBE-GGA.

abc: 8.0363 8.0363 3.1838
angles: 90.00 90.00 90.00
Space group P4/mbm (No. 127)
Asymmetric unit:
Ca 0.0000 0.0000 0.0000 [2 per cell]
Tl 0.1347 0.3653 0.0000 [4 per cell]
Rh 0.1649 0.6649 0.5000 [4 per cell]

The energy above the most stable polymorph in this dataset is 0.26 eV/f.u.

# 4
Crystalline Ca2Tl8Rh at its relaxed geometry, computed with PBE-GGA.

abc: 4.8704 4.8704 12.6259
angles: 90.00 90.00 90.00
Space group P4/mmm (No. 123)
Asymmetric unit:
Ca 0.0000 0.0000 0.1976 [2 per cell]
Tl 0.0000 0.5000 0.0000 [2 per cell]
Tl 0.0000 0.5000 0.3782 [4 per cell]
Tl 0.5000 0.5000 0.1859 [2 per cell]
Rh 0.0000 0.0000 0.5000 [1 per cell]

# 5
Crystalline CaTl3Rh3 at its relaxed geometry, computed with PBE-GGA.

abc: 7.3779 7.3779 7.3779
angles: 90.00 90.00 90.00
Space group Pm-3n (No. 223)
Asymmetric unit:
Ca 0.0000 0.0000 0.0000 [2 per cell]
Tl 0.0000 0.2500 0.5000 [6 per cell]
Rh 0.0000 0.5000 0.2500 [6 per cell]

# 6
Crystalline CaTl2Rh2 at its relaxed geometry, computed with PBE-GGA.

abc: 4.5413 4.5413 11.2174
angles: 90.00 90.00 90.00
Space group I4/mmm (No. 139)
Asymmetric unit:
Ca 0.0000 0.0000 0.0000 [2 per cell]
Tl 0.0000 0.5000 0.2500 [4 per cell]
Rh 0.0000 0.0000 0.3908 [4 per cell]

The energy above the most stable polymorph in this dataset is 0.37 eV/f.u.

# 7
Crystalline CaTl2Rh at its relaxed geometry, computed with PBE-GGA.

abc: 3.4996 3.4996 7.4659
angles: 90.00 90.00 90.00
Space group P4/mmm (No. 123)
Asymmetric unit:
Ca 0.0000 0.0000 0.0000 [1 per cell]
Tl 0.5000 0.5000 0.2916 [2 per cell]
Rh 0.0000 0.0000 0.5000 [1 per cell]

# 8
Crystalline Ca3TlRh at its relaxed geometry, computed with PBE-GGA.

abc: 5.7255 6.3684 8.8816
angles: 99.75 100.32 114.06
Space group P-1 (No. 2)
Asymmetric unit:
Ca 0.0551 0.1687 0.2919 [2 per cell]
Ca 0.3004 0.8006 0.1004 [2 per cell]
Ca 0.3092 0.4542 0.7436 [2 per cell]
Tl 0.3305 0.7396 0.4683 [2 per cell]
Rh 0.2292 0.2228 0.9987 [2 per cell]

The energy above the most stable polymorph in this dataset is 0.00 eV/f.u.

# 9
Crystalline Ca8Tl2Rh3 at its relaxed geometry, computed with PBE-GGA.

abc: 10.1252 14.6902 5.0925
angles: 90.00 90.00 90.00
Space group Cmmm (No. 65)
Asymmetric unit:
Ca 0.0000 0.1104 0.0000 [4 per cell]
Ca 0.0000 0.3868 0.0000 [4 per cell]
Ca 0.2488 0.1117 0.5000 [8 per cell]
Tl 0.0000 0.2451 0.5000 [4 per cell]
Rh 0.0000 0.0000 0.5000 [2 per cell]
Rh 0.2488 0.5000 0.0000 [4 per cell]

# 10
Crystalline CaTmTlRh at its relaxed geometry, computed with PBE-GGA.

abc: 7.1903 7.1903 7.1903
angles: 90.00 90.00 90.00
Space group F-43m (No. 216)
Asymmetric unit:
Ca 0.0000 0.0000 0.0000 [4 per cell]
Tm 0.0000 0.0000 0.5000 [4 per cell]
Tl 0.2500 0.2500 0.2500 [4 per cell]
Rh 0.2500 0.2500 0.7500 [4 per cell]

# 11
Crystalline CaYTlRh at its relaxed geometry, computed with PBE-GGA.

abc: 7.2495 7.2495 7.2495
angles: 90.00 90.00 90.00
Space group F-43m (No. 216)
Asymmetric unit:
Ca 0.0000 0.0000 0.0000 [4 per cell]
Y 0.0000 0.0000 0.5000 [4 per cell]
Tl 0.2500 0.2500 0.7500 [4 per cell]
Rh 0.2500 0.2500 0.2500 [4 per cell]

The energy above the most stable polymorph in this dataset is 0.47 eV/f.u.

# 12
Crystalline CaYTlRh at its relaxed geometry, computed with PBE-GGA.

abc: 3.4322 3.4322 8.3398
angles: 90.00 90.00 90.00
Space group P4mm (No. 99)
Asymmetric unit:
Ca 0.0000 0.0000 0.0000 [1 per cell]
Y 0.0000 0.0000 0.5843 [1 per cell]
Tl 0.5000 0.5000 0.2916 [1 per cell]
Rh 0.5000 0.5000 0.7718 [1 per cell]

The energy above the most stable polymorph in this dataset is 0.00 eV/f.u.

# 13
Crystalline Ca2YTlRh at its relaxed geometry, computed with PBE-GGA.

abc: 5.4553 5.4553 5.3356
angles: 90.00 90.00 90.00
Space group P4/mmm (No. 123)
Asymmetric unit:
Ca 0.0000 0.5000 0.0000 [2 per cell]
Y 0.0000 0.0000 0.5000 [1 per cell]
Tl 0.5000 0.5000 0.5000 [1 per cell]
Rh 0.0000 0.0000 0.0000 [1 per cell]

# 14
Crystalline Ca2TlZn2Rh5 at its relaxed geometry, computed with PBE-GGA.

abc: 9.5912 9.5912 3.8286
angles: 90.00 90.00 90.00
Space group P4/mbm (No. 127)
Asymmetric unit:
Ca 0.1760 0.3240 0.0000 [4 per cell]
Tl 0.0000 0.0000 0.0000 [2 per cell]
Zn 0.1216 0.6216 0.0000 [4 per cell]
Rh 0.0000 0.5000 0.5000 [2 per cell]
Rh 0.0654 0.7898 0.5000 [8 per cell]

# 15
Crystalline CaTlZnRh2 at its relaxed geometry, computed with PBE-GGA.

abc: 4.8460 4.8460 5.5954
angles: 90.00 90.00 90.00
Space group P4/mmm (No. 123)
Asymmetric unit:
Ca 0.0000 0.0000 0.0000 [1 per cell]
Tl 0.0000 0.0000 0.5000 [1 per cell]
Zn 0.5000 0.5000 0.5000 [1 per cell]
Rh 0.0000 0.5000 0.0000 [2 per cell]

# 16
Crystalline CaTmRh4 at its relaxed geometry, computed with PBE-GGA.

abc: 7.5281 7.5281 7.5281
angles: 90.00 90.00 90.00
Space group F-43m (No. 216)
Asymmetric unit:
Ca 0.0000 0.0000 0.0000 [4 per cell]
Tm 0.2500 0.2500 0.7500 [4 per cell]
Rh 0.1249 0.1249 0.3751 [16 per cell]

# 17
Crystalline Ca2TmRh9 at its relaxed geometry, computed with PBE-GGA.

abc: 5.2608 5.2608 26.3224
angles: 90.00 90.00 120.00
Space group R-3m (No. 166, hexagonal axes)
Asymmetric unit:
Ca 0.0000 0.0000 0.1405 [6 per cell]
Tm 0.0000 0.0000 0.0000 [3 per cell]
Rh 0.0000 0.0000 0.3330 [6 per cell]
Rh 0.0000 0.0000 0.5000 [3 per cell]
Rh 0.0013 0.5007 0.0813 [18 per cell]

# 18
Crystalline CaTm5Rh6 at its relaxed geometry, computed with PBE-GGA.

abc: 4.7996 14.4171 6.6993
angles: 90.00 90.00 90.00
Space group Cmmm (No. 65)
Asymmetric unit:
Ca 0.0000 0.0000 0.0000 [2 per cell]
Tm 0.0000 0.0000 0.5000 [2 per cell]
Tm 0.0000 0.3335 0.5000 [4 per cell]
Tm 0.0000 0.3350 0.0000 [4 per cell]
Rh 0.0000 0.1703 0.2531 [8 per cell]
Rh 0.0000 0.5000 0.2597 [4 per cell]

# 19
Crystalline CaTm4Rh5 at its relaxed geometry, computed with PBE-GGA.

abc: 3.3845 3.3845 16.9801
angles: 90.00 90.00 90.00
Space group P4/mmm (No. 123)
Asymmetric unit:
Ca 0.0000 0.0000 0.0000 [1 per cell]
Tm 0.0000 0.0000 0.2021 [2 per cell]
Tm 0.0000 0.0000 0.4007 [2 per cell]
Rh 0.5000 0.5000 0.1116 [2 per cell]
Rh 0.5000 0.5000 0.3037 [2 per cell]
Rh 0.5000 0.5000 0.5000 [1 per cell]

# 20
Crystalline Ca2Tm2Rh3 at its relaxed geometry, computed with PBE-GGA.

abc: 4.7355 4.7355 24.6492
angles: 90.00 90.00 120.00
Space group R-3m (No. 166, hexagonal axes)
Asymmetric unit:
Ca 0.0000 0.0000 0.1253 [6 per cell]
Tm 0.0000 0.0000 0.3746 [6 per cell]
Rh 0.0000 0.0000 0.0000 [3 per cell]
Rh 0.0000 0.0000 0.2600 [6 per cell]

# 21
Crystalline CaTm3Rh at its relaxed geometry, computed with PBE-GGA.

abc: 5.3837 5.3837 5.3837
angles: 90.00 90.00 90.00
Space group Pm-3m (No. 221)
Asymmetric unit:
Ca 0.0000 0.0000 0.0000 [1 per cell]
Tm 0.0000 0.5000 0.5000 [3 per cell]
Rh 0.5000 0.5000 0.5000 [1 per cell]

# 22
Crystalline CaY2TmRh4 at its relaxed geometry, computed with PBE-GGA.

abc: 4.8251 4.8251 23.7027
angles: 90.00 90.00 120.00
Space group R-3m (No. 166, hexagonal axes)
Asymmetric unit:
Ca 0.0000 0.0000 0.0000 [3 per cell]
Y 0.0000 0.0000 0.2515 [6 per cell]
Tm 0.0000 0.0000 0.5000 [3 per cell]
Rh 0.0000 0.0000 0.1281 [6 per cell]
Rh 0.0000 0.0000 0.3787 [6 per cell]

# 23
Crystalline CaTm2ZnRh4 at its relaxed geometry, computed with PBE-GGA.

abc: 4.6352 4.6352 23.0615
angles: 90.00 90.00 120.00
Space group R-3m (No. 166, hexagonal axes)
Asymmetric unit:
Ca 0.0000 0.0000 0.0000 [3 per cell]
Tm 0.0000 0.0000 0.2450 [6 per cell]
Zn 0.0000 0.0000 0.5000 [3 per cell]
Rh 0.0000 0.0000 0.1282 [6 per cell]
Rh 0.0000 0.0000 0.3813 [6 per cell]

# 24
Crystalline Ca5URh6 at its relaxed geometry, computed with PBE-GGA.

abc: 4.8554 7.2022 14.1060
angles: 90.00 90.00 90.00
Space group Immm (No. 71)
Asymmetric unit:
Ca 0.0000 0.0000 0.0000 [2 per cell]
Ca 0.0000 0.0000 0.3160 [4 per cell]
Ca 0.0000 0.5000 0.3408 [4 per cell]
U 0.0000 0.5000 0.0000 [2 per cell]
Rh 0.0000 0.2138 0.5000 [4 per cell]
Rh 0.0000 0.2843 0.1432 [8 per cell]

no.,density (g/cm³),VASP energy (eV/atom),E_form (eV per atom)
1,9.1,-3.7172,-0.1958
2,9.7,-3.7092,-0.1878
3,10.6,-4.4128,-0.1254
4,10.1,-2.9295,-0.1763
5,8.0,-4.0421,0.4086
6,9.4,-4.3909,-0.1035
7,10.0,-3.6697,-0.1483
8,5.1,-3.5130,-0.3685
9,4.6,-3.5730,-0.2807
10,9.2,-4.4431,-0.3954
11,7.6,-4.9464,-0.4006
12,7.4,-5.0650,-0.5192
13,5.0,-4.3189,-0.2819
14,8.8,-4.8660,-0.2986
15,6.5,-2.9331,1.1359
16,9.7,-6.5921,-0.6123
17,9.3,-6.5867,-0.3669
18,10.8,-6.5888,-0.8832
19,10.5,-6.5293,-0.8648
20,7.6,-5.6534,-0.6533
21,6.9,-4.8706,-0.3171
22,8.3,-6.8720,-0.7711
23,9.9,-5.8831,-0.6800
24,7.1,-5.9292,-0.4788